[1]
A plane-wave DFT calculation with PBE was carried out for a relaxed structure of Be2Ag2H.

The structure in POSCAR format:
```
Be2Ag2H
1.0
-1.9287 1.9287 5.1617
1.9287 -1.9287 5.1617
1.9287 1.9287 -5.1617
Be Ag H
2 2 1
Direct
0.1013 0.1013 0.0000
0.8987 0.8987 0.0000
0.2500 0.7500 0.5000
0.7500 0.2500 0.5000
0.5000 0.5000 0.0000
```

Computed properties:
ΔE to the lowest computed polymorph	0.4926	eV per atom
magnetization	0.0	μB per cell
crystal system	tetragonal

---

[2]
A plane-wave DFT calculation with PBE was carried out for a relaxed structure of NiAg2Pt.

The structure in POSCAR format:
```
NiAg2Pt
1.0
-1.4190 2.3096 4.7295
1.4190 -2.3096 4.7295
1.4190 2.3096 -4.7295
Ni Ag Pt
1 2 1
Direct
0.0000 0.0000 0.0000
0.2359 0.7359 0.5000
0.7641 0.2641 0.5000
0.5000 0.5000 0.0000
```

Computed properties:
magnetization	0.0	μB per cell
ΔE_f	0.125	eV per atom
crystal system	orthorhombic

---

[3]
A plane-wave DFT calculation with PBE was carried out for a relaxed structure of La4SmAu.

The structure in POSCAR format:
```
La4SmAu
1.0
3.7914 0.0000 0.0000
0.0000 3.7914 0.0000
0.0000 0.0000 13.7277
La Sm Au
4 1 1
Direct
0.0000 0.0000 0.1336
0.0000 0.0000 0.8664
0.5000 0.5000 0.3186
0.5000 0.5000 0.6814
0.0000 0.0000 0.5000
0.5000 0.5000 0.0000
```

Computed properties:
magnetization	0.0	μB per cell
ΔE_f	-0.246	eV per atom
crystal system	tetragonal

---

[4]
A plane-wave DFT calculation with PBE was carried out for a relaxed structure of MnMoCl3.

The structure in POSCAR format:
```
MnMoCl3
1.0
4.8804 0.0000 0.0000
0.0000 4.8804 0.0000
0.0000 0.0000 4.8804
Mn Mo Cl
1 1 3
Direct
0.0000 0.0000 0.0000
0.5000 0.5000 0.5000
0.0000 0.5000 0.5000
0.5000 0.0000 0.5000
0.5000 0.5000 0.0000
```

Computed properties:
ΔE to the lowest computed polymorph	0.1278	eV per atom
energy relative to the elements, uncorrected	19.22	kJ per mole of atoms
magnetization	5.8	μB per cell
crystal system	cubic

---

[5]
A plane-wave DFT calculation with PBE was carried out for a relaxed structure of Ho4AlS3.

The structure in POSCAR format:
```
Ho4AlS3
1.0
4.0567 -5.6537 0.0000
4.0567 5.6537 0.0000
0.0000 0.0000 3.8771
Ho Al S
4 1 3
Direct
0.2399 0.2399 0.5000
0.2483 0.7517 0.0000
0.7517 0.2483 0.0000
0.7601 0.7601 0.5000
0.5000 0.5000 0.0000
0.0000 0.0000 0.0000
0.0000 0.5000 0.5000
0.5000 0.0000 0.5000
```

Computed properties:
energy relative to the elements, uncorrected	-145.53	kJ per mole of atoms
magnetization	0.0	μB per cell
crystal system	orthorhombic